Computed, not measured: a relaxed structure of Hf3Ta2Ge3 at the PBE level of DFT.

a b c (Å): 7.8912 7.8912 5.4223
angles (deg): 90.00 90.00 120.00
Space group P6_3/mcm (No. 193)
Asymmetric unit:
1 Hf 0.0000 0.2546 0.2500 [6 per cell]
2 Ta 0.3333 0.6667 0.0000 [4 per cell]
3 Ge 0.0000 0.3912 0.7500 [6 per cell]

Electronic total energy in eV/atom: -9.03